[1]
A relaxed Cu2SnHg crystal, computed with PBE.

Structure (POSCAR):
```
Cu2SnHg
1.0
-2.135 2.135 8.921
2.135 -2.135 8.921
2.135 2.135 -8.921
Cu Sn Hg
4 2 2
Direct
0.078 0.625 0.953 Cu
0.375 0.328 0.453 Cu
0.672 0.125 0.047 Cu
0.875 0.922 0.547 Cu
0.000 0.000 0.000 Sn
0.750 0.250 0.500 Sn
0.250 0.750 0.500 Hg
0.500 0.500 0.000 Hg
```

Properties
N(E_F) = 0.37 states/eV/atom
VASP energy = -2.84 eV per atom
distance to the lowest polymorph of the same formula = 77 meV/atom

[2]
A relaxed TbCuSnHg crystal, computed with PBE.

Structure (POSCAR):
```
TbCuSnHg
1.0
0.000 3.536 3.536
3.536 0.000 3.536
3.536 3.536 0.000
Tb Cu Sn Hg
1 1 1 1
Direct
0.000 0.000 0.000 Tb
0.250 0.250 0.250 Cu
0.500 0.500 0.500 Sn
0.750 0.750 0.750 Hg
```

Properties
N(E_F) = 0.50 states/eV/atom
VASP energy = -3.51 eV per atom

[3]
A relaxed Cu2SnHgTe4 crystal, computed with PBE.

Structure (POSCAR):
```
Cu2SnHgTe4
1.0
-3.165 3.165 6.235
3.165 -3.165 6.235
3.165 3.165 -6.235
Cu Sn Hg Te
2 1 1 4
Direct
0.250 0.750 0.500 Cu
0.750 0.250 0.500 Cu
0.000 0.000 0.000 Sn
0.500 0.500 0.000 Hg
0.104 0.104 0.494 Te
0.390 0.896 0.000 Te
0.610 0.610 0.506 Te
0.896 0.390 0.000 Te
```

Properties
N(E_F) = 0.00 states/eV/atom
energy relative to the elements, uncorrected = -0.16 eV/atom
VASP energy = -3.29 eV per atom

[4]
A relaxed CuSn2HgTe crystal, computed with PBE.

Structure (POSCAR):
```
CuSn2HgTe
1.0
5.177 0.000 0.000
0.000 5.177 0.000
0.000 0.000 5.065
Cu Sn Hg Te
1 2 1 1
Direct
0.000 0.000 0.000 Cu
0.000 0.500 0.000 Sn
0.500 0.000 0.000 Sn
0.000 0.000 0.500 Hg
0.500 0.500 0.500 Te
```

Properties
N(E_F) = 0.31 states/eV/atom
energy relative to the elements, uncorrected = 0.10 eV/atom
VASP energy = -3.01 eV per atom

[5]
A relaxed CuSnHg2Te4 crystal, computed with PBE.

Structure (POSCAR):
```
CuSnHg2Te4
1.0
0.000 4.623 6.563
4.619 0.000 6.563
4.619 4.623 0.000
Cu Sn Hg Te
1 1 2 4
Direct
0.000 0.000 0.000 Cu
0.500 0.500 0.500 Sn
0.250 0.250 0.250 Hg
0.750 0.750 0.750 Hg
0.105 0.657 0.343 Te
0.343 0.895 0.657 Te
0.657 0.105 0.895 Te
0.895 0.343 0.105 Te
```

Properties
N(E_F) = 0.44 states/eV/atom
energy relative to the elements, uncorrected = -0.13 eV/atom
VASP energy = -2.79 eV per atom

[6]
A relaxed ThCuSnHg crystal, computed with PBE.

Structure (POSCAR):
```
ThCuSnHg
1.0
0.000 3.598 3.598
3.598 0.000 3.598
3.598 3.598 0.000
Th Cu Sn Hg
1 1 1 1
Direct
0.000 0.000 0.000 Th
0.750 0.750 0.750 Cu
0.500 0.500 0.500 Sn
0.250 0.250 0.250 Hg
```

Properties
N(E_F) = 0.70 states/eV/atom
VASP energy = -4.10 eV per atom

[7]
A relaxed TlCuSnHg2 crystal, computed with PBE.

Structure (POSCAR):
```
TlCuSnHg2
1.0
5.143 0.000 0.000
0.000 5.143 0.000
0.000 0.000 5.165
Tl Cu Sn Hg
1 1 1 2
Direct
0.000 0.000 0.000 Tl
0.500 0.500 0.500 Cu
0.500 0.500 0.000 Sn
0.000 0.500 0.500 Hg
0.500 0.000 0.500 Hg
```

Properties
N(E_F) = 0.51 states/eV/atom
VASP energy = -2.07 eV per atom

[8]
A relaxed Tl2CuSnHg crystal, computed with PBE.

Structure (POSCAR):
```
Tl2CuSnHg
1.0
5.309 0.000 0.000
0.000 5.309 0.000
0.000 0.000 5.106
Tl Cu Sn Hg
2 1 1 1
Direct
0.000 0.500 0.000 Tl
0.500 0.000 0.000 Tl
0.000 0.000 0.000 Cu
0.000 0.000 0.500 Sn
0.500 0.500 0.500 Hg
```

Properties
N(E_F) = 0.41 states/eV/atom
VASP energy = -2.47 eV per atom

[9]
A relaxed CuSn2HgW crystal, computed with PBE.

Structure (POSCAR):
```
CuSn2HgW
1.0
5.453 0.000 0.000
0.000 5.453 0.000
0.000 0.000 5.315
Cu Sn Hg W
1 2 1 1
Direct
0.000 0.000 0.000 Cu
0.000 0.500 0.500 Sn
0.500 0.000 0.500 Sn
0.500 0.500 0.500 Hg
0.500 0.500 0.000 W
```

Properties
N(E_F) = 0.86 states/eV/atom
VASP energy = -3.23 eV per atom

[10]
A relaxed YCuSnHg crystal, computed with PBE.

Structure (POSCAR):
```
YCuSnHg
1.0
0.000 3.537 3.537
3.537 0.000 3.537
3.537 3.537 0.000
Y Cu Sn Hg
1 1 1 1
Direct
0.000 0.000 0.000 Y
0.250 0.250 0.250 Cu
0.500 0.500 0.500 Sn
0.750 0.750 0.750 Hg
```

Properties
N(E_F) = 0.49 states/eV/atom
VASP energy = -3.96 eV per atom

[11]
A relaxed SrCuHg2 crystal, computed with PBE.

Structure (POSCAR):
```
SrCuHg2
1.0
3.795 0.000 0.000
0.000 3.795 0.000
0.000 0.000 7.017
Sr Cu Hg
1 1 2
Direct
0.000 0.000 0.000 Sr
0.500 0.500 0.294 Cu
0.000 0.000 0.452 Hg
0.500 0.500 0.706 Hg
```

Properties
N(E_F) = 0.40 states/eV/atom
VASP energy = -1.71 eV per atom

[12]
A relaxed Sr4CuHg crystal, computed with PBE.

Structure (POSCAR):
```
Sr4CuHg
1.0
0.000 5.175 5.175
5.175 0.000 5.175
5.175 5.175 0.000
Sr Cu Hg
4 1 1
Direct
0.125 0.125 0.125 Sr
0.125 0.125 0.625 Sr
0.125 0.625 0.125 Sr
0.625 0.125 0.125 Sr
0.750 0.750 0.750 Cu
0.500 0.500 0.500 Hg
```

Properties
N(E_F) = 1.54 states/eV/atom
VASP energy = -1.27 eV per atom
distance to the lowest polymorph of the same formula = 761 meV/atom

[13]
A relaxed Sr4CuHg2 crystal, computed with PBE.

Structure (POSCAR):
```
Sr4CuHg2
1.0
-2.892 2.892 8.348
2.892 -2.892 8.348
2.892 2.892 -8.348
Sr Cu Hg
4 1 2
Direct
0.000 0.500 0.500 Sr
0.188 0.188 0.000 Sr
0.500 0.000 0.500 Sr
0.812 0.812 0.000 Sr
0.000 0.000 0.000 Cu
0.387 0.387 0.000 Hg
0.613 0.613 0.000 Hg
```

Properties
N(E_F) = 0.95 states/eV/atom
VASP energy = -1.81 eV per atom

[14]
A relaxed Sr5CuHg4 crystal, computed with PBE.

Structure (POSCAR):
```
Sr5CuHg4
1.0
3.935 0.000 0.000
0.000 3.935 0.000
0.000 0.000 20.217
Sr Cu Hg
5 1 4
Direct
0.000 0.000 0.000 Sr
0.000 0.000 0.203 Sr
0.000 0.000 0.407 Sr
0.000 0.000 0.593 Sr
0.000 0.000 0.797 Sr
0.500 0.500 0.500 Cu
0.500 0.500 0.102 Hg
0.500 0.500 0.306 Hg
0.500 0.500 0.694 Hg
0.500 0.500 0.898 Hg
```

Properties
N(E_F) = 0.59 states/eV/atom
VASP energy = -1.79 eV per atom

[15]
A relaxed Sr5Cu2Hg crystal, computed with PBE.

Structure (POSCAR):
```
Sr5Cu2Hg
1.0
-4.182 4.182 7.928
4.182 -4.182 7.928
4.182 4.182 -7.928
Sr Cu Hg
10 4 2
Direct
0.000 0.000 0.000 Sr
0.029 0.529 0.840 Sr
0.189 0.029 0.500 Sr
0.311 0.811 0.840 Sr
0.471 0.311 0.500 Sr
0.500 0.500 0.000 Sr
0.529 0.689 0.500 Sr
0.689 0.189 0.160 Sr
0.811 0.971 0.500 Sr
0.971 0.471 0.160 Sr
0.108 0.392 0.500 Cu
0.392 0.892 0.284 Cu
0.608 0.108 0.716 Cu
0.892 0.608 0.500 Cu
0.250 0.250 0.000 Hg
0.750 0.750 0.000 Hg
```

Properties
N(E_F) = 0.51 states/eV/atom
VASP energy = -2.31 eV per atom

[16]
A relaxed SrCuHg2 crystal, computed with PBE.

Structure (POSCAR):
```
SrCuHg2
1.0
0.000 3.675 3.675
3.675 0.000 3.675
3.675 3.675 0.000
Sr Cu Hg
1 1 2
Direct
0.000 0.000 0.000 Sr
0.500 0.500 0.500 Cu
0.250 0.250 0.250 Hg
0.750 0.750 0.750 Hg
```

Properties
N(E_F) = 0.63 states/eV/atom
VASP energy = -1.73 eV per atom

[17]
A relaxed Sr4CuHg crystal, computed with PBE.

Structure (POSCAR):
```
Sr4CuHg
1.0
3.977 0.000 0.000
0.000 3.977 0.000
0.000 0.000 14.134
Sr Cu Hg
4 1 1
Direct
0.000 0.000 0.128 Sr
0.000 0.000 0.872 Sr
0.500 0.500 0.361 Sr
0.500 0.500 0.639 Sr
0.500 0.500 0.000 Cu
0.000 0.000 0.500 Hg
```

Properties
N(E_F) = 0.83 states/eV/atom
VASP energy = -2.03 eV per atom
distance to the lowest polymorph of the same formula = 0 meV/atom

[18]
A relaxed SrCu3Hg crystal, computed with PBE.

Structure (POSCAR):
```
SrCu3Hg
1.0
5.634 0.000 0.000
0.000 5.634 0.000
0.000 0.000 5.634
Sr Cu Hg
1 3 1
Direct
0.000 0.000 0.000 Sr
0.000 0.000 0.500 Cu
0.000 0.500 0.000 Cu
0.500 0.000 0.000 Cu
0.500 0.500 0.500 Hg
```

Properties
N(E_F) = 1.39 states/eV/atom
VASP energy = -1.65 eV per atom
distance to the lowest polymorph of the same formula = 924 meV/atom

[19]
A relaxed SrCuHg2 crystal, computed with PBE.

Structure (POSCAR):
```
SrCuHg2
1.0
4.102 0.000 0.000
0.000 4.527 0.000
-1.556 0.000 5.686
Sr Cu Hg
1 1 2
Direct
0.000 0.000 0.000 Sr
0.500 0.000 0.500 Cu
0.358 0.500 0.712 Hg
0.642 0.500 0.288 Hg
```

Properties
N(E_F) = 0.45 states/eV/atom
VASP energy = -1.76 eV per atom

[20]
A relaxed SrCuHg2 crystal, computed with PBE.

Structure (POSCAR):
```
SrCuHg2
1.0
3.271 -3.287 0.000
3.271 3.287 0.000
0.000 0.000 4.820
Sr Cu Hg
1 1 2
Direct
0.000 0.000 0.000 Sr
0.500 0.500 0.000 Cu
0.000 0.500 0.500 Hg
0.500 0.000 0.500 Hg
```

Properties
N(E_F) = 0.65 states/eV/atom
VASP energy = -1.70 eV per atom

[21]
A relaxed Sr6Cu2Hg crystal, computed with PBE.

Structure (POSCAR):
```
Sr6Cu2Hg
1.0
-5.291 5.439 5.784
5.291 -5.439 5.784
5.291 5.439 -5.784
Sr Cu Hg
12 4 2
Direct
0.039 0.233 0.806 Sr
0.181 0.285 0.466 Sr
0.181 0.715 0.896 Sr
0.325 0.020 0.695 Sr
0.325 0.631 0.305 Sr
0.427 0.233 0.194 Sr
0.573 0.767 0.806 Sr
0.675 0.369 0.695 Sr
0.675 0.980 0.305 Sr
0.819 0.285 0.104 Sr
0.819 0.715 0.534 Sr
0.961 0.767 0.194 Sr
0.108 0.608 0.500 Cu
0.379 0.000 0.379 Cu
0.621 0.000 0.621 Cu
0.892 0.392 0.500 Cu
0.000 0.000 0.000 Hg
0.500 0.500 0.000 Hg
```

Properties
N(E_F) = 1.01 states/eV/atom
VASP energy = -2.20 eV per atom

[22]
A relaxed Sr2CuHg4 crystal, computed with PBE.

Structure (POSCAR):
```
Sr2CuHg4
1.0
-2.531 2.531 8.401
2.531 -2.531 8.401
2.531 2.531 -8.401
Sr Cu Hg
2 1 4
Direct
0.142 0.142 0.000 Sr
0.858 0.858 0.000 Sr
0.500 0.500 0.000 Cu
0.000 0.500 0.500 Hg
0.337 0.337 0.000 Hg
0.500 0.000 0.500 Hg
0.663 0.663 0.000 Hg
```

Properties
N(E_F) = 0.42 states/eV/atom
VASP energy = -1.49 eV per atom

[23]
A relaxed SrCuHg2 crystal, computed with PBE.

Structure (POSCAR):
```
SrCuHg2
1.0
-2.558 2.558 9.236
2.558 -2.558 9.236
2.558 2.558 -9.236
Sr Cu Hg
2 2 4
Direct
0.000 0.000 0.000 Sr
0.750 0.250 0.500 Sr
0.250 0.750 0.500 Cu
0.500 0.500 0.000 Cu
0.250 0.625 0.125 Hg
0.375 0.500 0.625 Hg
0.500 0.125 0.875 Hg
0.875 0.750 0.375 Hg
```

Properties
N(E_F) = 0.67 states/eV/atom
VASP energy = -1.66 eV per atom

[24]
A relaxed SrCuHg2 crystal, computed with PBE.

Structure (POSCAR):
```
SrCuHg2
1.0
4.200 0.000 0.000
0.000 4.335 0.000
-2.055 0.000 5.796
Sr Cu Hg
1 1 2
Direct
0.000 0.000 0.000 Sr
0.586 0.500 0.177 Cu
0.340 0.500 0.677 Hg
0.717 0.000 0.444 Hg
```

Properties
N(E_F) = 0.41 states/eV/atom
VASP energy = -1.75 eV per atom

[25]
A relaxed SrCuHg2 crystal, computed with PBE.

Structure (POSCAR):
```
SrCuHg2
1.0
2.358 1.362 5.436
-2.358 1.362 5.436
0.000 -2.723 5.436
Sr Cu Hg
1 1 2
Direct
0.000 0.000 0.000 Sr
0.800 0.800 0.800 Cu
0.211 0.211 0.211 Hg
0.454 0.454 0.454 Hg
```

Properties
N(E_F) = 0.49 states/eV/atom
VASP energy = -1.82 eV per atom

[26]
A relaxed Sr6CuHg5 crystal, computed with PBE.

Structure (POSCAR):
```
Sr6CuHg5
1.0
2.831 -8.500 0.000
2.831 8.500 0.000
0.000 0.000 7.866
Sr Cu Hg
6 1 5
Direct
0.000 0.000 0.244 Sr
0.000 0.000 0.756 Sr
0.336 0.664 0.247 Sr
0.336 0.664 0.753 Sr
0.664 0.336 0.247 Sr
0.664 0.336 0.753 Sr
0.500 0.500 0.000 Cu
0.167 0.833 0.500 Hg
0.169 0.831 0.000 Hg
0.500 0.500 0.500 Hg
0.831 0.169 0.000 Hg
0.833 0.167 0.500 Hg
```

Properties
N(E_F) = 0.65 states/eV/atom
VASP energy = -1.74 eV per atom